VASP calculation (PBE-GGA) on crystalline Mg6CdB at its relaxed geometry.

Properties
- Fermi-level density of states (states/eV/atom) = 0.3716
- symmetry = Amm2 (38)

Cell lengths 6.6282, 6.6282, 3.7383 Å; angles 90.00, 90.00, 96.53 degrees
With the nearest neighbours (Å) after each atom.
Atoms (fractional coordinates):
Mg1 0.6139 0.3861 0.5000  2 B 2.46
Mg2 0.8912 0.5999 0.0000  1 B 2.52
Mg3 0.0574 0.2861 0.5000  2 B 2.64
Mg4 0.1628 0.8372 0.5000  2 Cd 2.89, 6 Mg 2.93-3.13
Mg5 0.7139 0.9426 0.5000  2 B 2.64
Mg6 0.4001 0.1088 0.0000  1 B 2.52
B1 0.7751 0.2249 0.0000  8 Mg 2.46-2.64
Cd1 0.3855 0.6145 0.0000  4 Mg 2.89-2.93

VASP calculation (PBE-GGA) on crystalline MgCdB at its relaxed geometry.

Properties
- Fermi-level density of states (states/eV/atom) = 0.2039
- symmetry = Pmm2 (25)

Cell lengths 4.0788, 3.1264, 8.1665 Å; angles 90.00, 90.00, 90.00 degrees
With the nearest neighbours (Å) after each atom.
Atoms (fractional coordinates):
Mg1 0.5000 0.5000 0.5282  3 B 2.35-2.45
Mg2 0.0000 0.0000 0.9013  2 B 2.35
B1 0.5000 0.5000 0.8159  2 B 1.63
B2 0.5000 0.0000 0.7590  2 B 1.63
Cd1 0.5000 0.5000 0.1293  1 B 2.56
Cd2 0.0000 0.0000 0.3240  6 Cd 3.02-3.13, 4 Mg 3.06

Number 1: VASP energy -1.94 eV per atom. Number 2: VASP energy -3.00 eV per atom.